(1)
Entry from the Alexandria database: a geometry-optimized CeInPt6 structure (PBE). Values from VASP.

Cell and atoms, written as Quantum ESPRESSO input:
```
&SYSTEM
  ibrav = 0, nat = 8, ntyp = 3
/
ATOMIC_SPECIES
Ce 140.12 Ce.upf
In 114.82 In.upf
Pt 195.08 Pt.upf
ATOMIC_POSITIONS angstrom
Ce 0.000 0.000 0.000
In 0.000 0.000 4.091
Pt 0.000 2.063 2.075
Pt 0.000 2.063 6.106
Pt 2.063 0.000 2.075
Pt 2.063 0.000 6.106
Pt 2.063 2.063 0.000
Pt 2.063 2.063 4.091
CELL_PARAMETERS angstrom
4.126 0.000 0.000
0.000 4.126 0.000
0.000 0.000 8.182
```

Values from the calculation:
Total magnetic moment = 0.00 Bohr magnetons per cell
ΔE_f = -0.69 eV/atom
Space group = P4/mmm, No. 123

(2)
Entry from the Alexandria database: a geometry-optimized Ba2MnTc structure (PBE). Values from VASP.

Cell and atoms, written as Quantum ESPRESSO input:
```
&SYSTEM
  ibrav = 0, nat = 4, ntyp = 3
/
ATOMIC_SPECIES
Ba 137.33 Ba.upf
Mn 54.94 Mn.upf
Tc 98.00 Tc.upf
ATOMIC_POSITIONS angstrom
Ba 0.000 0.000 1.965
Ba 0.000 0.000 6.366
Mn 1.839 2.005 4.166
Tc 1.839 2.005 0.000
CELL_PARAMETERS angstrom
3.679 0.000 0.000
0.000 4.009 0.000
0.000 0.000 8.332
```

Values from the calculation:
Total magnetic moment = 5.80 Bohr magnetons per cell
ΔE_f = 1.03 eV/atom
Space group = Pmmm, No. 47
Energy above the lowest structure with this stoichiometry = 242 kJ/mol of formula units

(3)
Entry from the Alexandria database: a geometry-optimized MgOs2Ru structure (PBE). Values from VASP.

Cell and atoms, written as Quantum ESPRESSO input:
```
&SYSTEM
  ibrav = 0, nat = 4, ntyp = 3
/
ATOMIC_SPECIES
Mg 24.30 Mg.upf
Os 190.23 Os.upf
Ru 101.07 Ru.upf
ATOMIC_POSITIONS angstrom
Mg 0.000 0.000 0.000
Os 1.422 0.000 2.321
Os 1.422 0.000 6.815
Ru 0.000 0.000 4.568
CELL_PARAMETERS angstrom
1.422 -2.309 0.000
1.422 2.309 0.000
0.000 0.000 9.137
```

Values from the calculation:
Total magnetic moment = 0.87 Bohr magnetons per cell
ΔE_f = 0.46 eV/atom
Space group = Cmmm, No. 65

The calculation returns the following calculated total energy values, one per record and in order: -6.30, -4.82, -7.87 eV/atom.